Compound: CaZr3N4
Source: Alexandria via LeMat-Bulk
Functional: PBE
Structure: optimized geometry

For the total energy, the calculation gives -147.22 eV/cell. Its formation energy without anion corrections is -1.5829 eV/atom. For the density of states at the Fermi level, the calculation gives 0.28 states/eV/atom.

The space group is P6_3/mmc (No. 194) and the conventional cell measures 3.2880, 3.2880 and 22.0052 Å, with angles of 90.00, 90.00 and 120.00 degrees. The inequivalent atoms are Ca at (0.3333, 0.6667, 0.2500), Zr at (0.0000, 0.0000, 0.0000), Zr at (0.3333, 0.6667, 0.6220), N at (0.0000, 0.0000, 0.1764) and N at (0.3333, 0.6667, 0.0609).



Compound: CaZr2N
Source: Alexandria via LeMat-Bulk
Functional: PBE
Structure: optimized geometry

For the total energy, the calculation gives -115.40 eV/cell. Its formation energy without anion corrections is -0.3566 eV/atom. For the density of states at the Fermi level, the calculation gives 1.90 states/eV/atom.

The space group is I-42d (No. 122) and the conventional cell measures 6.749, 6.749 and 9.281 Å, with angles of 90.00, 90.00 and 90.00 degrees. The inequivalent atoms are Ca at (0.000, 0.000, 0.000), Zr at (0.057, 0.750, 0.625) and N at (0.000, 0.000, 0.500).



Compound: Ca2Zr2N
Source: Alexandria via LeMat-Bulk
Functional: PBE
Structure: optimized geometry

For the total energy, the calculation gives -54.59 eV/cell. Its formation energy without anion corrections is 0.4262 eV/atom. For the density of states at the Fermi level, the calculation gives 0.60 states/eV/atom. For the excess energy over the best structure of this formula in the dataset, the calculation gives 0 kJ/mol of formula units.

The space group is P4/mbm (No. 127) and the conventional cell measures 6.324, 6.324 and 6.201 Å, with angles of 90.00, 90.00 and 90.00 degrees. The inequivalent atoms are Ca at (0.188, 0.312, 0.000), Zr at (0.147, 0.647, 0.500) and N at (0.000, 0.000, 0.000).



Compound: CaZr2N3
Source: Alexandria via LeMat-Bulk
Functional: PBE
Structure: optimized geometry

For the total energy, the calculation gives -105.90 eV/cell. Its formation energy without anion corrections is -1.4792 eV/atom. For the density of states at the Fermi level, the calculation gives 0.30 states/eV/atom.

The space group is P2_1/m (No. 11) and the conventional cell measures 5.754, 3.271 and 8.527 Å, with angles of 90.00, 102.85 and 90.00 degrees. The inequivalent atoms are Ca at (0.029, 0.250, 0.334), Zr at (0.251, 0.250, 0.999), Zr at (0.480, 0.250, 0.665), N at (0.144, 0.750, 0.148), N at (0.286, 0.750, 0.510) and N at (0.378, 0.750, 0.845).



Compound: NaCa3
Source: Alexandria via LeMat-Bulk
Functional: PBE
Structure: optimized geometry

The calculation puts the calculated formation energy at 0.130 eV per atom. For the total energy, the calculation gives -27.22 eV/cell. For the density of states at the Fermi level, the calculation gives 0.81 states/eV/atom.

The space group is C2/m (No. 12) and the conventional cell measures 6.699, 11.660 and 9.516 Å, with angles of 90.00, 103.79 and 90.00 degrees. The inequivalent atoms are Na at (0.000, 0.167, 0.000), Ca at (0.223, 0.500, 0.669) and Ca at (0.226, 0.166, 0.669).



Compound: Na3Ca5
Source: Alexandria via LeMat-Bulk
Functional: PBE
Structure: optimized geometry

The calculation puts the calculated formation energy at 0.047 eV per atom. For the total energy, the calculation gives -13.59 eV/cell. For the density of states at the Fermi level, the calculation gives 0.90 states/eV/atom. For the excess energy over the best structure of this formula in the dataset, the calculation gives 21 kJ/mol of formula units.

The space group is Pmm2 (No. 25) and the conventional cell measures 4.431, 6.043 and 12.025 Å, with angles of 90.00, 90.00 and 90.00 degrees. The inequivalent atoms are Na at (0.000, 0.000, 0.000), Na at (0.000, 0.500, 0.242), Na at (0.500, 0.000, 0.237), Ca at (0.000, 0.000, 0.491), Ca at (0.000, 0.500, 0.733), Ca at (0.500, 0.000, 0.752), Ca at (0.500, 0.500, 0.484) and Ca at (0.500, 0.500, 0.990).



It is found that the total magnetization values, taken in the order of the records, are 0.0; 0.0; 0.0; 0.0; 0.0; 0.0 μB/f.u..